P) Entry from Alexandria: crystalline RbAs2PtBr at its relaxed geometry (PBE-GGA).

a b c (Å): 7.0616 7.0616 6.1655
angles (deg): 90.00 90.00 90.00
With the nearest neighbours (Å) after each atom.
Sites, in units of the cell vectors:
Rb (0.0000, 0.0000, 0.0000)  2 Br 3.08
As (0.0000, 0.5000, 0.0000)  2 Rb 3.53
As (0.5000, 0.0000, 0.0000)  2 Rb 3.53
Pt (0.5000, 0.5000, 0.5000)  8 As 4.69, 4 Br 4.99
Br (0.0000, 0.0000, 0.5000)  2 Rb 3.08

Its space group is P4/mmm (123). Its total magnetic moment is 3.916 μB/f.u.


Q) Entry from Alexandria: crystalline RbAs2PtBr at its relaxed geometry (PBE-GGA).

a b c (Å): 4.7392 4.7392 9.1913
angles (deg): 90.00 90.00 90.00
With the nearest neighbours (Å) after each atom.
Sites, in units of the cell vectors:
Rb (0.0000, 0.0000, 0.0000)  4 Br 3.35
As (0.0000, 0.5000, 0.5000)  2 Pt 2.37
As (0.5000, 0.0000, 0.5000)  2 Pt 2.37
Pt (0.5000, 0.5000, 0.5000)  4 As 2.37
Br (0.5000, 0.5000, 0.0000)  4 Rb 3.35

Its space group is P4/mmm (123). Its total magnetic moment is 0.000 μB/f.u.


It is Q) that is most stable; the runner-up trails by 1892 meV per atom.


P) Entry from Alexandria: crystalline AsPtRhBr2 at its relaxed geometry (PBE-GGA).

a b c (Å): 5.0731 5.0731 4.6562
angles (deg): 90.00 90.00 90.00
With the nearest neighbours (Å) after each atom.
Sites, in units of the cell vectors:
As (0.0000, 0.0000, 0.0000)  2 Rh 2.33
Pt (0.5000, 0.5000, 0.0000)  8 Br 3.44, 4 As 3.59
Rh (0.0000, 0.0000, 0.5000)  2 As 2.33, 4 Br 2.54
Br (0.0000, 0.5000, 0.5000)  2 Rh 2.54
Br (0.5000, 0.0000, 0.5000)  2 Rh 2.54

Its space group is P4/mmm (123). Its total magnetic moment is 0.000 μB/f.u.


Q) Entry from Alexandria: crystalline AsPtRhBr2 at its relaxed geometry (PBE-GGA).

a b c (Å): 5.2670 5.2670 4.7130
angles (deg): 90.00 90.00 90.00
With the nearest neighbours (Å) after each atom.
Sites, in units of the cell vectors:
As (0.0000, 0.0000, 0.0000)  2 Pt 2.36
Pt (0.0000, 0.0000, 0.5000)  2 As 2.36, 4 Br 2.63
Rh (0.5000, 0.5000, 0.0000)  8 Br 3.53, 4 As 3.72
Br (0.0000, 0.5000, 0.5000)  2 Pt 2.63
Br (0.5000, 0.0000, 0.5000)  2 Pt 2.63

Its space group is P4/mmm (123). Its total magnetic moment is 1.442 μB/f.u.


It is P) that is most stable; the runner-up trails by 68 meV per atom.


P) Entry from Alexandria: crystalline AsRuPtBr2 at its relaxed geometry (PBE-GGA).

a b c (Å): 4.8268 4.8268 5.0844
angles (deg): 90.00 90.00 90.00
With the nearest neighbours (Å) after each atom.
Sites, in units of the cell vectors:
As (0.0000, 0.0000, 0.0000)  4 Pt 3.41, 8 Br 3.51
Ru (0.5000, 0.5000, 0.5000)  4 Br 2.41, 2 Pt 2.54
Pt (0.5000, 0.5000, 0.0000)  2 Ru 2.54
Br (0.0000, 0.5000, 0.5000)  2 Ru 2.41
Br (0.5000, 0.0000, 0.5000)  2 Ru 2.41

Its space group is P4/mmm (123). Its total magnetic moment is 0.000 μB/f.u.


Q) Entry from Alexandria: crystalline AsRuPtBr2 at its relaxed geometry (PBE-GGA).

a b c (Å): 5.0516 5.0516 4.6470
angles (deg): 90.00 90.00 90.00
With the nearest neighbours (Å) after each atom.
Sites, in units of the cell vectors:
As (0.0000, 0.0000, 0.0000)  2 Ru 2.32
Ru (0.0000, 0.0000, 0.5000)  2 As 2.32, 4 Br 2.53
Pt (0.5000, 0.5000, 0.0000)  8 Br 3.43, 4 As 3.57
Br (0.0000, 0.5000, 0.5000)  2 Ru 2.53
Br (0.5000, 0.0000, 0.5000)  2 Ru 2.53

Its space group is P4/mmm (123). Its total magnetic moment is 0.000 μB/f.u.


R) Entry from Alexandria: crystalline AsRuPtBr2 at its relaxed geometry (PBE-GGA).

a b c (Å): 5.2733 5.2733 4.7480
angles (deg): 90.00 90.00 90.00
With the nearest neighbours (Å) after each atom.
Sites, in units of the cell vectors:
As (0.0000, 0.0000, 0.0000)  2 Pt 2.37
Ru (0.5000, 0.5000, 0.0000)  8 Br 3.55, 4 As 3.73
Pt (0.0000, 0.0000, 0.5000)  2 As 2.37, 4 Br 2.64
Br (0.0000, 0.5000, 0.5000)  2 Pt 2.64
Br (0.5000, 0.0000, 0.5000)  2 Pt 2.64

Its space group is P4/mmm (123). Its total magnetic moment is 3.119 μB/f.u.


It is Q) that is most stable; the runner-up trails by 64 meV per atom.